*P*
# BaCa2Mn GGA-PBEsol relaxed
data_BaCa2Mn
_chemical_formula_sum 'Ba1 Ca2 Mn1'
_space_group_name_H-M_alt 'P 1'
_space_group_IT_number 1
_space_group_name_Hall 'P 1'
_cell_length_a 5.010
_cell_length_b 5.010
_cell_length_c 5.667
_cell_angle_alpha 90.00
_cell_angle_beta 90.00
_cell_angle_gamma 90.00
loop_
_atom_site_label
_atom_site_type_symbol
_atom_site_fract_x
_atom_site_fract_y
_atom_site_fract_z
Ba1 Ba 0.000 0.000 0.500
Mn1 Mn 0.500 0.500 0.500
Ca1 Ca 0.000 0.500 0.000
Ca2 Ca 0.500 0.000 0.000
# SG: P4/mmm (123)

=====

*Q*
# BaCa2Mn GGA-PBEsol relaxed
data_BaCa2Mn
_chemical_formula_sum 'Ba1 Ca2 Mn1'
_space_group_name_H-M_alt 'P 1'
_space_group_IT_number 1
_space_group_name_Hall 'P 1'
_cell_length_a 5.720
_cell_length_b 5.720
_cell_length_c 5.720
_cell_angle_alpha 60.00
_cell_angle_beta 60.00
_cell_angle_gamma 60.00
loop_
_atom_site_label
_atom_site_type_symbol
_atom_site_fract_x
_atom_site_fract_y
_atom_site_fract_z
Mn1 Mn 0.000 0.000 0.000
Ca1 Ca 0.750 0.750 0.750
Ca2 Ca 0.250 0.250 0.250
Ba1 Ba 0.500 0.500 0.500
# SG: Fm-3m (225)

=====

*R*
# BaCa2Mn GGA-PBEsol relaxed
data_BaCa2Mn
_chemical_formula_sum 'Ba1 Ca2 Mn1'
_space_group_name_H-M_alt 'P 1'
_space_group_IT_number 1
_space_group_name_Hall 'P 1'
_cell_length_a 3.792
_cell_length_b 3.792
_cell_length_c 9.778
_cell_angle_alpha 90.00
_cell_angle_beta 90.00
_cell_angle_gamma 90.00
loop_
_atom_site_label
_atom_site_type_symbol
_atom_site_fract_x
_atom_site_fract_y
_atom_site_fract_z
Ca1 Ca 0.000 0.000 0.823
Ca2 Ca 0.000 0.000 0.177
Ba1 Ba 0.500 0.500 0.500
Mn1 Mn 0.500 0.500 0.000
# SG: P4/mmm (123)

=====

The structure with the most favorable energy is *R*; the runner-up is 0.102 eV/atom above it.

=====

*P*
# Ba4CaZr5O15 GGA-PBEsol relaxed
data_Ba4CaZr5O15
_chemical_formula_sum 'Ba8 Ca2 Zr10 O30'
_space_group_name_H-M_alt 'P 1'
_space_group_IT_number 1
_space_group_name_Hall 'P 1'
_cell_length_a 5.857
_cell_length_b 5.857
_cell_length_c 21.354
_cell_angle_alpha 97.88
_cell_angle_beta 97.88
_cell_angle_gamma 90.00
loop_
_atom_site_label
_atom_site_type_symbol
_atom_site_fract_x
_atom_site_fract_y
_atom_site_fract_z
Zr1 Zr 0.050 0.550 0.101
Zr2 Zr 0.550 0.050 0.101
Zr3 Zr 0.849 0.349 0.697
Zr4 Zr 0.250 0.750 0.500
Zr5 Zr 0.349 0.849 0.697
Zr6 Zr 0.450 0.950 0.899
Zr7 Zr 0.950 0.450 0.899
Zr8 Zr 0.651 0.151 0.303
Zr9 Zr 0.151 0.651 0.303
Zr10 Zr 0.750 0.250 0.500
O1 O 0.677 0.222 0.899
O2 O 0.559 0.559 0.509
O3 O 0.778 0.778 0.101
O4 O 0.177 0.177 0.899
O5 O 0.701 0.201 0.401
O6 O 0.000 0.500 0.000
O7 O 0.439 0.861 0.300
O8 O 0.050 0.441 0.491
O9 O 0.561 0.561 0.700
O10 O 0.358 0.358 0.308
O11 O 0.601 0.101 0.202
O12 O 0.823 0.278 0.101
O13 O 0.861 0.439 0.300
O14 O 0.899 0.399 0.798
O15 O 0.950 0.950 0.308
O16 O 0.399 0.899 0.798
O17 O 0.642 0.050 0.692
O18 O 0.323 0.323 0.101
O19 O 0.278 0.823 0.101
O20 O 0.722 0.722 0.899
O21 O 0.101 0.601 0.202
O22 O 0.299 0.799 0.599
O23 O 0.799 0.299 0.599
O24 O 0.139 0.139 0.700
O25 O 0.441 0.050 0.491
O26 O 0.050 0.642 0.692
O27 O 0.222 0.677 0.899
O28 O 0.950 0.950 0.509
O29 O 0.500 0.000 0.000
O30 O 0.201 0.701 0.401
Ba1 Ba 0.299 0.299 0.598
Ba2 Ba 0.500 0.500 0.000
Ba3 Ba 0.101 0.101 0.202
Ba4 Ba 0.701 0.701 0.402
Ba5 Ba 0.600 0.600 0.199
Ba6 Ba 0.000 0.000 0.000
Ba7 Ba 0.400 0.400 0.801
Ba8 Ba 0.899 0.899 0.798
Ca1 Ca 0.800 0.800 0.601
Ca2 Ca 0.200 0.200 0.399
# SG: I-42m (121)

=====

*Q*
# Ba4CaZr5O15 GGA-PBEsol relaxed
data_Ba4CaZr5O15
_chemical_formula_sum 'Ba4 Ca1 Zr5 O15'
_space_group_name_H-M_alt 'P 1'
_space_group_IT_number 1
_space_group_name_Hall 'P 1'
_cell_length_a 4.172
_cell_length_b 5.909
_cell_length_c 15.023
_cell_angle_alpha 101.34
_cell_angle_beta 90.00
_cell_angle_gamma 90.00
loop_
_atom_site_label
_atom_site_type_symbol
_atom_site_fract_x
_atom_site_fract_y
_atom_site_fract_z
Ba1 Ba 0.500 0.300 0.600
Ba2 Ba 0.500 0.099 0.198
Ba3 Ba 0.500 0.901 0.802
Ba4 Ba 0.500 0.700 0.400
Zr1 Zr 0.000 0.000 0.000
Zr2 Zr 0.000 0.800 0.601
Zr3 Zr 0.000 0.402 0.803
Zr4 Zr 0.000 0.598 0.197
Zr5 Zr 0.000 0.200 0.399
O1 O 0.500 0.800 0.600
O2 O 0.500 0.595 0.191
O3 O 0.000 0.698 0.903
O4 O 0.500 0.000 0.000
O5 O 0.500 0.405 0.809
O6 O 0.000 0.102 0.701
O7 O 0.000 0.796 0.097
O8 O 0.000 0.400 0.299
O9 O 0.500 0.200 0.400
O10 O 0.000 0.898 0.299
O11 O 0.000 0.000 0.500
O12 O 0.000 0.600 0.701
O13 O 0.000 0.302 0.097
O14 O 0.000 0.500 0.500
O15 O 0.000 0.204 0.903
Ca1 Ca 0.500 0.500 0.000
# SG: Cmmm (65)

=====

The structure with the most favorable energy is *P*; the runner-up is 0.013 eV/atom above it.

=====

*P*
# Ba2CaOs GGA-PBEsol relaxed
data_Ba2CaOs
_chemical_formula_sum 'Ba2 Ca1 Os1'
_space_group_name_H-M_alt 'P 1'
_space_group_IT_number 1
_space_group_name_Hall 'P 1'
_cell_length_a 4.097
_cell_length_b 4.097
_cell_length_c 11.100
_cell_angle_alpha 79.37
_cell_angle_beta 79.37
_cell_angle_gamma 60.00
loop_
_atom_site_label
_atom_site_type_symbol
_atom_site_fract_x
_atom_site_fract_y
_atom_site_fract_z
Os1 Os 0.000 0.000 0.000
Ba1 Ba 0.275 0.275 0.176
Ba2 Ba 0.725 0.725 0.824
Ca1 Ca 0.500 0.500 0.500
# SG: R-3m (166)

=====

*Q*
# Ba2CaOs GGA-PBEsol relaxed
data_Ba2CaOs
_chemical_formula_sum 'Ba2 Ca1 Os1'
_space_group_name_H-M_alt 'P 1'
_space_group_IT_number 1
_space_group_name_Hall 'P 1'
_cell_length_a 5.452
_cell_length_b 5.488
_cell_length_c 5.452
_cell_angle_alpha 60.21
_cell_angle_beta 90.00
_cell_angle_gamma 119.79
loop_
_atom_site_label
_atom_site_type_symbol
_atom_site_fract_x
_atom_site_fract_y
_atom_site_fract_z
Os1 Os 0.000 0.000 0.000
Ba1 Ba 0.750 0.500 0.750
Ba2 Ba 0.250 0.500 0.250
Ca1 Ca 0.500 0.000 0.500
# SG: I4/mmm (139)

=====

The structure with the most favorable energy is *Q*; the runner-up is 0.045 eV/atom above it.